{
  "formula": "TaCr2In",
  "functional": "PBE",
  "state": "optimized geometry",
  "cell": [[2.8255, 0.0048, 0.0000], [-1.0825, 2.6099, 0.0000], [0.0000, 0.0000, 8.6531]],
  "species": ["In", "Ta", "Cr", "Cr"],
  "fractional_positions": [[0.0000, 0.0000, 0.4824], [0.5000, 0.5000, 0.7793], [0.0000, 0.0000, 0.0216], [0.5000, 0.5000, 0.2167]],
  "formation_enthalpy_0k_ev_per_atom": 0.357,
  "total_energy_ev_per_atom": -8.102,
  "spacegroup": "Cmm2"
}

=====

{
  "formula": "TaCr2In",
  "functional": "PBE",
  "state": "optimized geometry",
  "cell": [[8.7329, -0.0309, -0.0182], [8.2364, 2.9026, -0.0182], [8.2364, 1.3938, 2.5461]],
  "species": ["Ta", "Cr", "Cr", "In"],
  "fractional_positions": [[0.7393, 0.7393, 0.7393], [0.9919, 0.9919, 0.9919], [0.2633, 0.2633, 0.2633], [0.5055, 0.5055, 0.5055]],
  "formation_enthalpy_0k_ev_per_atom": 0.431,
  "total_energy_ev_per_atom": -8.028,
  "spacegroup": "R3m"
}

=====

{
  "formula": "TaCr2In",
  "functional": "PBE",
  "state": "optimized geometry",
  "cell": [[-3.5875, -3.3108, 1.8350], [-1.2280, -3.2502, 3.8894], [-2.7303, 1.6789, 3.0863]],
  "species": ["Cr", "Cr", "Ta", "In"],
  "fractional_positions": [[0.2752, 0.2752, 0.2248], [0.9793, 0.9793, 0.0207], [0.7336, 0.7336, 0.7664], [0.5119, 0.5119, 0.4881]],
  "formation_enthalpy_0k_ev_per_atom": 0.256,
  "total_energy_ev_per_atom": -8.203,
  "spacegroup": "Imm2"
}